Pm2Pr3NdS6 | PBE | relaxed

For the raw total energy, the calculation gives -6.478 eV per atom. As for the formation energy without anion corrections: -2.0302 eV per atom. The space-group type is C2/m, No. 12.

```
Pm2Pr3NdS6
1.0
3.5229 -6.1206 0.0000
3.5229 6.1206 0.0000
-2.3539 0.0000 6.6570
Pm Pr Nd S
2 3 1 6
Cartesian
3.5229 4.0814 0.0000 Pm
3.5229 -4.0814 0.0000 Pm
-1.1770 0.0000 3.3285 Pr
2.3460 2.0314 3.3285 Pr
2.3460 -2.0314 3.3285 Pr
3.5229 0.0000 0.0000 Nd
-0.0101 2.0514 5.0272 S
1.1598 0.0000 1.6258 S
-0.0101 -2.0514 5.0272 S
4.7021 2.0514 1.6298 S
3.5321 0.0000 5.0312 S
4.7021 -2.0514 1.6298 S
```